Compound: CsGe2Pd2
Source: Alexandria via LeMat-Bulk
Functional: PBE-GGA
Structure: relaxed

Computed properties:
Space group ... No. 139
Total DFT energy (no corrections) ... -0.3282 Ry per atom
Energy above the most stable polymorph in this dataset ... 0 meV/atom

Lattice parameters (Å, degrees): 7.8935 7.8935 7.8935 148.59 148.59 45.01
Fractional positions:
1 Cs 0.0000 0.0000 0.0000
2 Ge 0.3395 0.3395 0.0000
3 Ge 0.6605 0.6605 0.0000
4 Pd 0.2500 0.7500 0.5000
5 Pd 0.7500 0.2500 0.5000